No. 1
A crystal of CaPH3 relaxed with PBEsol. Source: the Alexandria database, functional SCAN.

abc: 3.8875 3.8875 3.8875
angles: 90.00 90.00 90.00
Closest atoms and distances in Å follow each position.
Fractional coordinates of all 5 atoms:
H1 0.0000 0.0000 0.5000  2 Ca 1.94
H2 0.5000 0.0000 0.0000  2 Ca 1.94
H3 0.0000 0.5000 0.0000  2 Ca 1.94
Ca1 0.0000 0.0000 0.0000  6 H 1.94
P1 0.5000 0.5000 0.5000  12 H 2.75

- crystal system = cubic
- E_tot (eV/f.u.) = -27.061
- SG = Pm-3m
- total magnetization (μB per formula unit) = 0.903


No. 2
A crystal of BaZn3Pt relaxed with PBEsol. Source: the Alexandria database, functional SCAN.

abc: 6.3351 6.7842 6.7842
angles: 65.04 62.17 62.17
Closest atoms and distances in Å follow each position.
Fractional coordinates of all 10 atoms:
Zn1 0.7500 0.1609 0.3391  2 Pt 2.47, 4 Zn 2.72
Zn2 0.3030 0.1970 0.6970  2 Pt 2.47, 2 Zn 2.72
Zn3 0.8030 0.1970 0.6970  2 Pt 2.47, 2 Zn 2.72
Zn4 0.6970 0.8030 0.3030  2 Pt 2.47, 2 Zn 2.72
Zn5 0.1970 0.8030 0.3030  2 Pt 2.47, 2 Zn 2.72
Zn6 0.2500 0.8391 0.6609  2 Pt 2.47, 4 Zn 2.72
Ba1 0.2500 0.3420 0.1580  12 Zn 3.43-3.67, 2 Pt 3.81
Ba2 0.7500 0.6580 0.8420  12 Zn 3.43-3.67, 2 Pt 3.81
Pt1 0.5000 0.5000 0.5000  6 Zn 2.47
Pt2 0.0000 0.0000 0.0000  6 Zn 2.47

- crystal system = orthorhombic
- SG = Imma
- excess energy over the best structure of this formula in the dataset (meV/atom) = 3
- total magnetization (μB per formula unit) = 0.000
- energy of formation (eV per atom) = -0.559


No. 3
A crystal of Li2CaZn relaxed with PBEsol. Source: the Alexandria database, functional SCAN.

abc: 4.9700 4.9700 4.9700
angles: 60.00 60.00 60.00
Closest atoms and distances in Å follow each position.
Fractional coordinates of all 4 atoms:
Zn1 0.2500 0.2500 0.2500  4 Ca 3.04, 4 Li 3.04
Li1 0.0000 0.0000 0.0000  4 Zn 3.04, 4 Li 3.04
Li2 0.7500 0.7500 0.7500  4 Li 3.04, 4 Ca 3.04
Ca1 0.5000 0.5000 0.5000  4 Li 3.04, 4 Zn 3.04

- crystal system = cubic
- SG = F-43m
- total magnetization (μB per formula unit) = 0.023
- energy of formation (eV per atom) = -0.061


The lowest total magnetization belongs to which entry?
BaZn3Pt